VASP calculation (PBE) on La4DyMg3 after structural relaxation.

DFT total energy   -3.705 eV/atom
Space-group type   P4/mmm (123)
DOS at the Fermi energy   10.00 states/eV/cell

abc: 3.9062 3.9062 16.8462
angles: 90.00 90.00 90.00
Element x y z (fractional)
La1 0.0000 0.0000 0.1188
La2 0.0000 0.0000 0.3585
La3 0.0000 0.0000 0.6415
La4 0.0000 0.0000 0.8812
Dy1 0.5000 0.5000 0.5000
Mg1 0.5000 0.5000 0.0000
Mg2 0.5000 0.5000 0.2397
Mg3 0.5000 0.5000 0.7603

=====

VASP calculation (PBE) on LaDyMg6 after structural relaxation.

DFT total energy   -2.464 eV/atom
Space-group type   Amm2 (38)
DOS at the Fermi energy   8.31 states/eV/cell

abc: 5.2373 6.7911 6.7911
angles: 60.10 90.00 90.00
Element x y z (fractional)
La1 0.0000 0.0000 0.0000
Dy1 0.5000 0.3319 0.3319
Mg1 0.0000 0.5008 0.5008
Mg2 0.0000 0.5022 0.9952
Mg3 0.0000 0.9952 0.5022
Mg4 0.5000 0.3463 0.8245
Mg5 0.5000 0.8245 0.3463
Mg6 0.5000 0.8262 0.8262

=====

VASP calculation (PBE) on LaDy2Mg6 after structural relaxation.

DFT total energy   -2.713 eV/atom
Space-group type   P6/mmm (191)
DOS at the Fermi energy   6.91 states/eV/cell

abc: 9.1463 9.1463 3.3345
angles: 90.00 90.00 120.00
Element x y z (fractional)
La1 0.0000 0.0000 0.0000
Dy1 0.3333 0.6667 0.0000
Dy2 0.6667 0.3333 0.0000
Mg1 0.0000 0.3376 0.5000
Mg2 0.0000 0.6624 0.5000
Mg3 0.3376 0.0000 0.5000
Mg4 0.3376 0.3376 0.5000
Mg5 0.6624 0.0000 0.5000
Mg6 0.6624 0.6624 0.5000